A relaxed structure of ZrTlCl2, computed with GGA-PBE.

Summary:
Formation energy without anion corrections (eV/atom): -0.50
Raw total energy (Ry per atom): -0.3055
ΔE to the lowest computed polymorph (meV/atom): 573.6

Cell and atoms, written as CIF:
```
data_ZrTlCl2
_cell_length_a 6.4981
_cell_length_b 9.5668
_cell_length_c 3.3734
_cell_angle_alpha 90.00
_cell_angle_beta 119.02
_cell_angle_gamma 90.00
_symmetry_space_group_name_H-M 'C 1 2/m 1'
_symmetry_Int_Tables_number 12
loop_
_symmetry_equiv_pos_as_xyz
'x,y,z'
'-x,-y,-z'
'-x,y,-z'
'x,-y,z'
'x+1/2,y+1/2,z'
'-x+1/2,-y+1/2,-z'
'-x+1/2,y+1/2,-z'
'x+1/2,-y+1/2,z'
loop_
_atom_site_label
_atom_site_fract_x
_atom_site_fract_y
_atom_site_fract_z
Zr1 0.0000 0.0000 0.0000
Tl1 0.0000 0.5000 0.0000
Cl1 0.2500 0.2500 0.0000
```


A relaxed structure of Ac3Nd3Dy, computed with GGA-PBE.

Summary:
Formation energy from the elements (eV/atom): 0.18
Raw total energy (Ry per atom): -0.3145

Cell and atoms, written as CIF:
```
data_Ac3Nd3Dy
_cell_length_a 13.9353
_cell_length_b 5.6656
_cell_length_c 14.1383
_cell_angle_alpha 90.00
_cell_angle_beta 90.00
_cell_angle_gamma 90.00
_symmetry_space_group_name_H-M 'P n m a'
_symmetry_Int_Tables_number 62
loop_
_symmetry_equiv_pos_as_xyz
'x,y,z'
'-x,-y,-z'
'-x+1/2,-y,z+1/2'
'x+1/2,y,-z+1/2'
'x+1/2,-y+1/2,-z+1/2'
'-x+1/2,y+1/2,z+1/2'
'-x,y+1/2,-z'
'x,-y+1/2,z'
loop_
_atom_site_label
_atom_site_fract_x
_atom_site_fract_y
_atom_site_fract_z
Ac1 0.0904 0.2500 0.0606
Ac2 0.0945 0.2500 0.5581
Ac3 0.1868 0.7500 0.3619
Nd1 0.0352 0.2500 0.3127
Nd2 0.1637 0.7500 0.9345
Nd3 0.2081 0.7500 0.6995
Dy1 0.0454 0.2500 0.8128
```


A relaxed structure of CuTc2Os, computed with GGA-PBE.

Summary:
Formation energy from the elements (eV/atom): 0.21
Raw total energy (Ry per atom): -0.6474
ΔE to the lowest computed polymorph (meV/atom): 49.3

Cell and atoms, written as CIF:
```
data_CuTc2Os
_cell_length_a 9.0542
_cell_length_b 2.7135
_cell_length_c 4.6549
_cell_angle_alpha 90.00
_cell_angle_beta 100.05
_cell_angle_gamma 90.00
_symmetry_space_group_name_H-M 'C 1 m 1'
_symmetry_Int_Tables_number 8
loop_
_symmetry_equiv_pos_as_xyz
'x,y,z'
'x,-y,z'
'x+1/2,y+1/2,z'
'x+1/2,-y+1/2,z'
loop_
_atom_site_label
_atom_site_fract_x
_atom_site_fract_y
_atom_site_fract_z
Cu1 0.0000 0.0000 0.0000
Tc1 0.2437 0.0000 0.7503
Tc2 0.4971 0.0000 0.4960
Os1 0.2561 0.5000 0.2590
```


A relaxed structure of Ba2Cu2Ge, computed with GGA-PBE.

Summary:
Formation energy from the elements (eV/atom): -0.05
Raw total energy (Ry per atom): -0.2483
ΔE to the lowest computed polymorph (meV/atom): 63.4

Cell and atoms, written as CIF:
```
data_Ba2Cu2Ge
_cell_length_a 7.7681
_cell_length_b 7.7681
_cell_length_c 4.5718
_cell_angle_alpha 90.00
_cell_angle_beta 90.00
_cell_angle_gamma 90.00
_symmetry_space_group_name_H-M 'P 4/m b m'
_symmetry_Int_Tables_number 127
_symmetry_space_group_name_Hall '-P 4 2ab'
loop_
_atom_site_label
_atom_site_fract_x
_atom_site_fract_y
_atom_site_fract_z
Ba1 0.1905 0.3095 0.0000
Cu1 0.1115 0.6115 0.5000
Ge1 0.0000 0.0000 0.5000
```


A relaxed structure of Er6SeS5, computed with GGA-PBE.

Summary:
Formation energy without anion corrections (eV/atom): -1.91
Raw total energy (Ry per atom): -0.4559

Cell and atoms, written as CIF:
```
data_Er6SeS5
_cell_length_a 6.7373
_cell_length_b 11.7076
_cell_length_c 6.7434
_cell_angle_alpha 90.00
_cell_angle_beta 109.56
_cell_angle_gamma 90.00
_symmetry_space_group_name_H-M 'C 1 2/m 1'
_symmetry_Int_Tables_number 12
loop_
_symmetry_equiv_pos_as_xyz
'x,y,z'
'-x,-y,-z'
'-x,y,-z'
'x,-y,z'
'x+1/2,y+1/2,z'
'-x+1/2,-y+1/2,-z'
'-x+1/2,y+1/2,-z'
'x+1/2,-y+1/2,z'
loop_
_atom_site_label
_atom_site_fract_x
_atom_site_fract_y
_atom_site_fract_z
Er1 0.2408 0.1717 0.2353
Er2 0.2442 0.0000 0.7616
Se1 0.0000 0.5000 0.5000
S1 0.0000 0.0000 0.0000
S2 0.0000 0.1672 0.5000
S3 0.0000 0.3377 0.0000
```


A relaxed structure of Sr2Te4Mo, computed with GGA-PBE.

Summary:
Formation energy without anion corrections (eV/atom): -0.68
Raw total energy (Ry per atom): -0.3312

Cell and atoms, written as CIF:
```
data_Sr2Te4Mo
_cell_length_a 5.3026
_cell_length_b 5.3026
_cell_length_c 17.2497
_cell_angle_alpha 90.00
_cell_angle_beta 90.00
_cell_angle_gamma 90.00
_symmetry_space_group_name_H-M 'I 4/m m m'
_symmetry_Int_Tables_number 139
_symmetry_space_group_name_Hall '-I 4 2'
loop_
_atom_site_label
_atom_site_fract_x
_atom_site_fract_y
_atom_site_fract_z
Sr1 0.0000 0.0000 0.1434
Te1 0.0000 0.0000 0.3324
Te2 0.0000 0.5000 0.0000
Mo1 0.0000 0.0000 0.5000
```


A relaxed structure of Zn2TcTe, computed with GGA-PBE.

Summary:
Formation energy without anion corrections (eV/atom): 0.34
Raw total energy (Ry per atom): -0.2703

Cell and atoms, written as CIF:
```
data_Zn2TcTe
_cell_length_a 4.0717
_cell_length_b 4.0717
_cell_length_c 8.2386
_cell_angle_alpha 90.00
_cell_angle_beta 90.00
_cell_angle_gamma 90.00
_symmetry_space_group_name_H-M 'I -4 m 2'
_symmetry_Int_Tables_number 119
_symmetry_space_group_name_Hall 'I -4 -2'
loop_
_atom_site_label
_atom_site_fract_x
_atom_site_fract_y
_atom_site_fract_z
Zn1 0.0000 0.0000 0.0000
Zn2 0.0000 0.5000 0.2500
Tc1 0.0000 0.5000 0.7500
Te1 0.0000 0.0000 0.5000
```


A relaxed structure of TaMnTc2, computed with GGA-PBE.

Summary:
Formation energy from the elements (eV/atom): -0.04
Raw total energy (Ry per atom): -0.7702

Cell and atoms, written as CIF:
```
data_TaMnTc2
_cell_length_a 3.1527
_cell_length_b 4.3308
_cell_length_c 4.3628
_cell_angle_alpha 90.00
_cell_angle_beta 90.00
_cell_angle_gamma 90.00
_symmetry_space_group_name_H-M 'P m m m'
_symmetry_Int_Tables_number 47
loop_
_symmetry_equiv_pos_as_xyz
'x,y,z'
'-x,-y,-z'
'-x,-y,z'
'x,y,-z'
'x,-y,-z'
'-x,y,z'
'-x,y,-z'
'x,-y,z'
loop_
_atom_site_label
_atom_site_fract_x
_atom_site_fract_y
_atom_site_fract_z
Ta1 0.0000 0.0000 0.0000
Mn1 0.5000 0.5000 0.0000
Tc1 0.0000 0.5000 0.5000
Tc2 0.5000 0.0000 0.5000
```


A relaxed structure of BaInIr, computed with GGA-PBE.

Summary:
Formation energy from the elements (eV/atom): -0.08
Raw total energy (Ry per atom): -0.3373

Cell and atoms, written as CIF:
```
data_BaInIr
_cell_length_a 3.7757
_cell_length_b 6.7872
_cell_length_c 7.7665
_cell_angle_alpha 115.83
_cell_angle_beta 104.01
_cell_angle_gamma 90.02
_symmetry_space_group_name_H-M 'P -1'
_symmetry_Int_Tables_number 2
loop_
_symmetry_equiv_pos_as_xyz
'x,y,z'
'-x,-y,-z'
loop_
_atom_site_label
_atom_site_fract_x
_atom_site_fract_y
_atom_site_fract_z
Ba1 0.1456 0.1450 0.2906
In1 0.1127 0.6132 0.2268
Ir1 0.5001 0.2887 0.0001
```


A relaxed structure of Li2Pm2ErGe2, computed with GGA-PBE.

Summary:
Formation energy from the elements (eV/atom): -0.48
Raw total energy (Ry per atom): -0.3205

Cell and atoms, written as CIF:
```
data_Li2Pm2ErGe2
_cell_length_a 4.4193
_cell_length_b 4.4193
_cell_length_c 28.6526
_cell_angle_alpha 90.00
_cell_angle_beta 90.00
_cell_angle_gamma 120.00
_symmetry_space_group_name_H-M 'R -3 m'
_symmetry_Int_Tables_number 166
_symmetry_space_group_name_Hall '-R 3 2"'
loop_
_atom_site_label
_atom_site_fract_x
_atom_site_fract_y
_atom_site_fract_z
Li1 0.0000 0.0000 0.1115
Pm1 0.0000 0.0000 0.3773
Er1 0.0000 0.0000 0.5000
Ge1 0.0000 0.0000 0.2279
```


A relaxed structure of Al2HgGeI8, computed with GGA-PBE.

Summary:
Formation energy without anion corrections (eV/atom): -0.48
Raw total energy (Ry per atom): -0.1872

Cell and atoms, written as CIF:
```
data_Al2HgGeI8
_cell_length_a 12.2422
_cell_length_b 8.3097
_cell_length_c 11.7963
_cell_angle_alpha 90.00
_cell_angle_beta 98.60
_cell_angle_gamma 90.00
_symmetry_space_group_name_H-M 'C 1 2/m 1'
_symmetry_Int_Tables_number 12
loop_
_symmetry_equiv_pos_as_xyz
'x,y,z'
'-x,-y,-z'
'-x,y,-z'
'x,-y,z'
'x+1/2,y+1/2,z'
'-x+1/2,-y+1/2,-z'
'-x+1/2,y+1/2,-z'
'x+1/2,-y+1/2,z'
loop_
_atom_site_label
_atom_site_fract_x
_atom_site_fract_y
_atom_site_fract_z
Al1 0.1145 0.0000 0.3125
Hg1 0.0000 0.5000 0.0000
Ge1 0.0000 0.5000 0.5000
I1 0.0174 0.2483 0.6919
I2 0.2014 0.0000 0.1335
I3 0.2494 0.5000 0.4970
```


A relaxed structure of CdBP2Cl, computed with GGA-PBE.

Summary:
Formation energy without anion corrections (eV/atom): 1.68
Raw total energy (Ry per atom): -0.1741
ΔE to the lowest computed polymorph (meV/atom): 1118.2

Cell and atoms, written as CIF:
```
data_CdBP2Cl
_cell_length_a 4.9829
_cell_length_b 4.9829
_cell_length_c 5.3803
_cell_angle_alpha 90.00
_cell_angle_beta 90.00
_cell_angle_gamma 90.00
_symmetry_space_group_name_H-M 'P 4/m m m'
_symmetry_Int_Tables_number 123
_symmetry_space_group_name_Hall '-P 4 2'
loop_
_atom_site_label
_atom_site_fract_x
_atom_site_fract_y
_atom_site_fract_z
Cd1 0.0000 0.0000 0.0000
B1 0.5000 0.5000 0.5000
P1 0.0000 0.5000 0.0000
Cl1 0.0000 0.0000 0.5000
```


A relaxed structure of GdMgZrSn, computed with GGA-PBE.

Summary:
Formation energy from the elements (eV/atom): -0.24
Raw total energy (Ry per atom): -0.5364

Cell and atoms, written as CIF:
```
data_GdMgZrSn
_cell_length_a 7.2914
_cell_length_b 7.2914
_cell_length_c 7.2914
_cell_angle_alpha 90.00
_cell_angle_beta 90.00
_cell_angle_gamma 90.00
_symmetry_space_group_name_H-M 'F -4 3 m'
_symmetry_Int_Tables_number 216
_symmetry_space_group_name_Hall 'F -4 2 3'
loop_
_atom_site_label
_atom_site_fract_x
_atom_site_fract_y
_atom_site_fract_z
Gd1 0.0000 0.0000 0.0000
Mg1 0.2500 0.2500 0.7500
Zr1 0.0000 0.0000 0.5000
Sn1 0.2500 0.2500 0.2500
```